{
  "formula": "CaInSeBr2",
  "functional": "GGA-PBE",
  "state": "optimized geometry",
  "lattice": [[5.4558, 0.0000, 0.0000], [0.0000, 5.4558, 0.0000], [0.0000, 0.0000, 5.3293]],
  "species": ["Ca", "In", "Se", "Br", "Br"],
  "fractional_positions": [[0.0000, 0.0000, 0.0000], [0.5000, 0.5000, 0.5000], [0.5000, 0.5000, 0.0000], [0.0000, 0.5000, 0.5000], [0.5000, 0.0000, 0.5000]],
  "de_polymorph_ev_per_atom": 0.187,
  "raw_formation_energy_ev_per_atom": -0.76
}